Record 1
The following is a PBE calculation of an optimized crystal structure of V2WBr, from the Alexandria database.

Structure (CIF):
```
data_V2WBr
_space_group_name_H-M_alt 'I -4 2 d'
_space_group_IT_number 122
_space_group_name_Hall 'I -4 2bw'
_cell_length_a 6.807
_cell_length_b 6.807
_cell_length_c 5.693
_cell_angle_alpha 90.00
_cell_angle_beta 90.00
_cell_angle_gamma 90.00
loop_
_atom_site_label
_atom_site_type_symbol
_atom_site_fract_x
_atom_site_fract_y
_atom_site_fract_z
_atom_site_occupancy
V1 V 0.235 0.250 0.125 1
W1 W 0.000 0.000 0.500 1
Br1 Br 0.000 0.000 0.000 1
```

Output
* total DFT energy (no corrections): -7.179 eV per atom
* distance to the lowest polymorph of the same formula: 0.140 eV/atom
* ΔE_f (raw): 1.04 eV/atom
* mass density: 9.2 Mg/m³
* N(E_F): 1.347 states/eV/atom

***

Record 2
The following is a PBE calculation of an optimized crystal structure of La2EuSb, from the Alexandria database.

Structure (CIF):
```
data_La2EuSb
_space_group_name_H-M_alt 'P 4/m m m'
_space_group_IT_number 123
_space_group_name_Hall '-P 4 2'
_cell_length_a 4.281
_cell_length_b 4.281
_cell_length_c 7.381
_cell_angle_alpha 90.00
_cell_angle_beta 90.00
_cell_angle_gamma 90.00
loop_
_atom_site_label
_atom_site_type_symbol
_atom_site_fract_x
_atom_site_fract_y
_atom_site_fract_z
_atom_site_occupancy
La1 La 0.000 0.000 0.216 1
Eu1 Eu 0.500 0.500 0.500 1
Sb1 Sb 0.500 0.500 0.000 1
```

Output
* total DFT energy (no corrections): -6.604 eV per atom
* distance to the lowest polymorph of the same formula: 0.034 eV/atom
* ΔE_f (raw): -0.54 eV/atom
* mass density: 6.8 Mg/m³
* N(E_F): 1.357 states/eV/atom

***

Record 3
The following is a PBE calculation of an optimized crystal structure of MnCd2Pb, from the Alexandria database.

Structure (CIF):
```
data_MnCd2Pb
_space_group_name_H-M_alt 'F -4 3 m'
_space_group_IT_number 216
_space_group_name_Hall 'F -4 2 3'
_cell_length_a 7.167
_cell_length_b 7.167
_cell_length_c 7.167
_cell_angle_alpha 90.00
_cell_angle_beta 90.00
_cell_angle_gamma 90.00
loop_
_atom_site_label
_atom_site_type_symbol
_atom_site_fract_x
_atom_site_fract_y
_atom_site_fract_z
_atom_site_occupancy
Mn1 Mn 0.000 0.000 0.000 1
Cd1 Cd 0.000 0.000 0.500 1
Cd2 Cd 0.250 0.250 0.750 1
Pb1 Pb 0.250 0.250 0.250 1
```

Output
* total DFT energy (no corrections): -3.336 eV per atom
* mass density: 8.8 Mg/m³
* N(E_F): 0.741 states/eV/atom

***

Record 4
The following is a PBE calculation of an optimized crystal structure of ErSc5Cd4, from the Alexandria database.

Structure (CIF):
```
data_ErSc5Cd4
_space_group_name_H-M_alt 'P 4/m m m'
_space_group_IT_number 123
_space_group_name_Hall '-P 4 2'
_cell_length_a 3.474
_cell_length_b 3.474
_cell_length_c 19.339
_cell_angle_alpha 90.00
_cell_angle_beta 90.00
_cell_angle_gamma 90.00
loop_
_atom_site_label
_atom_site_type_symbol
_atom_site_fract_x
_atom_site_fract_y
_atom_site_fract_z
_atom_site_occupancy
Er1 Er 0.000 0.000 0.000 1
Sc1 Sc 0.500 0.500 0.120 1
Sc2 Sc 0.500 0.500 0.312 1
Sc3 Sc 0.500 0.500 0.500 1
Cd1 Cd 0.000 0.000 0.216 1
Cd2 Cd 0.000 0.000 0.405 1
```

Output
* total DFT energy (no corrections): -4.201 eV per atom
* mass density: 6.0 Mg/m³
* N(E_F): 1.299 states/eV/atom

***

Record 5
The following is a PBE calculation of an optimized crystal structure of PmEuMgGa, from the Alexandria database.

Structure (CIF):
```
data_PmEuMgGa
_space_group_name_H-M_alt 'F -4 3 m'
_space_group_IT_number 216
_space_group_name_Hall 'F -4 2 3'
_cell_length_a 7.591
_cell_length_b 7.591
_cell_length_c 7.591
_cell_angle_alpha 90.00
_cell_angle_beta 90.00
_cell_angle_gamma 90.00
loop_
_atom_site_label
_atom_site_type_symbol
_atom_site_fract_x
_atom_site_fract_y
_atom_site_fract_z
_atom_site_occupancy
Pm1 Pm 0.000 0.000 0.000 1
Eu1 Eu 0.000 0.000 0.500 1
Mg1 Mg 0.250 0.250 0.250 1
Ga1 Ga 0.250 0.250 0.750 1
```

Output
* total DFT energy (no corrections): -5.198 eV per atom
* mass density: 5.9 Mg/m³
* N(E_F): 1.706 states/eV/atom

***

Record 6
The following is a PBE calculation of an optimized crystal structure of MnFeH, from the Alexandria database.

Structure (CIF):
```
data_MnFeH
_space_group_name_H-M_alt 'P 3 m 1'
_space_group_IT_number 156
_cell_length_a 2.5493
_cell_length_b 2.5493
_cell_length_c 4.0562
_cell_angle_alpha 90.00
_cell_angle_beta 90.00
_cell_angle_gamma 120.00
loop_
_space_group_symop_operation_xyz
'x,y,z'
'-y,x-y,z'
'-x+y,-x,z'
'-y,-x,z'
'-x+y,y,z'
'x,x-y,z'
loop_
_atom_site_label
_atom_site_type_symbol
_atom_site_fract_x
_atom_site_fract_y
_atom_site_fract_z
_atom_site_occupancy
Mn1 Mn 0.0000 0.0000 0.0000 1
Fe1 Fe 0.3333 0.6667 0.5255 1
H1 H 0.6667 0.3333 0.2663 1
```

Output
* total DFT energy (no corrections): -7.004 eV per atom
* distance to the lowest polymorph of the same formula: 0.000 eV/atom
* mass density: 8.1 Mg/m³
* N(E_F): 0.746 states/eV/atom

***

Record 7
The following is a PBE calculation of an optimized crystal structure of NaSr2LiCa, from the Alexandria database.

Structure (CIF):
```
data_NaSr2LiCa
_space_group_name_H-M_alt 'I m m 2'
_space_group_IT_number 44
_cell_length_a 3.947
_cell_length_b 6.143
_cell_length_c 18.107
_cell_angle_alpha 90.00
_cell_angle_beta 90.00
_cell_angle_gamma 90.00
loop_
_space_group_symop_operation_xyz
'x,y,z'
'-x,-y,z'
'-x,y,z'
'x,-y,z'
'x+1/2,y+1/2,z+1/2'
'-x+1/2,-y+1/2,z+1/2'
'-x+1/2,y+1/2,z+1/2'
'x+1/2,-y+1/2,z+1/2'
loop_
_atom_site_label
_atom_site_type_symbol
_atom_site_fract_x
_atom_site_fract_y
_atom_site_fract_z
_atom_site_occupancy
Na1 Na 0.000 0.000 0.000 1
Sr1 Sr 0.000 0.000 0.213 1
Sr2 Sr 0.000 0.000 0.583 1
Li1 Li 0.000 0.500 0.899 1
Ca1 Ca 0.000 0.000 0.804 1
```

Output
* total DFT energy (no corrections): -1.612 eV per atom
* distance to the lowest polymorph of the same formula: 0.000 eV/atom
* mass density: 1.9 Mg/m³
* N(E_F): 0.869 states/eV/atom

***

Record 8
The following is a PBE calculation of an optimized crystal structure of ZrPtIO2, from the Alexandria database.

Structure (CIF):
```
data_ZrPtIO2
_space_group_name_H-M_alt 'P 4/m m m'
_space_group_IT_number 123
_space_group_name_Hall '-P 4 2'
_cell_length_a 4.161
_cell_length_b 4.161
_cell_length_c 5.183
_cell_angle_alpha 90.00
_cell_angle_beta 90.00
_cell_angle_gamma 90.00
loop_
_atom_site_label
_atom_site_type_symbol
_atom_site_fract_x
_atom_site_fract_y
_atom_site_fract_z
_atom_site_occupancy
Zr1 Zr 0.000 0.000 0.000 1
Pt1 Pt 0.500 0.500 0.500 1
I1 I 0.500 0.500 0.000 1
O1 O 0.000 0.500 0.500 1
```

Output
* total DFT energy (no corrections): -5.043 eV per atom
* distance to the lowest polymorph of the same formula: 1.368 eV/atom
* ΔE_f (raw): 0.17 eV/atom
* mass density: 8.2 Mg/m³
* N(E_F): 0.737 states/eV/atom